Record 1
## Al2TlIr2 (PBE)

Data for a geometry-optimized Al2TlIr2 structure.

Cell and atoms, written as POSCAR:
```
Al2TlIr2
1.0
-0.9531 -3.7009 -0.5748
3.4427 -1.0992 1.3691
-1.0093 -2.6667 5.8515
Tl Al Ir
1 2 2
direct
0.0000 0.0000 0.0000
0.7500 0.2500 0.5000
0.2500 0.7500 0.5000
0.3859 0.3859 0.2282
0.6141 0.6141 0.7718
```

Computed properties:
Theoretical density ... 12.10 Mg/m³
Formation enthalpy at 0 K ... -0.37 eV per atom
Spin magnetization ... 0.000 μB/atom
SG ... No. 139
Total DFT energy (no corrections) ... -5.884 eV/atom
Relative energy among the computed polymorphs ... 68 meV per atom


Record 2
## AlTlIr (PBE)

Data for a geometry-optimized AlTlIr structure.

Cell and atoms, written as POSCAR:
```
AlTlIr
1.0
-4.1318 -0.0545 -1.5900
-1.2017 -3.0887 -2.9358
-2.7895 -3.2239 1.1950
Tl Ir Al
1 1 1
direct
0.0000 0.0000 0.0000
0.7500 0.7500 0.7500
0.5000 0.5000 0.5000
```

Computed properties:
Theoretical density ... 11.46 Mg/m³
Formation enthalpy at 0 K ... 0.00 eV per atom
Spin magnetization ... 0.000 μB/atom
SG ... No. 216
Total DFT energy (no corrections) ... -4.991 eV/atom
Relative energy among the computed polymorphs ... 57 meV per atom


Record 3
## Al2TlIr (PBE)

Data for a geometry-optimized Al2TlIr structure.

Cell and atoms, written as POSCAR:
```
Al2TlIr
1.0
8.9816 0.0354 0.0209
8.4286 3.1032 0.0209
8.4286 1.5194 2.7058
Al Tl Ir
2 1 1
direct
0.5147 0.5147 0.5147
0.9853 0.9853 0.9853
0.7500 0.7500 0.7500
0.2500 0.2500 0.2500
```

Computed properties:
Theoretical density ... 10.10 Mg/m³
Formation enthalpy at 0 K ... -0.13 eV per atom
Spin magnetization ... 0.000 μB/atom
SG ... No. 166
Total DFT energy (no corrections) ... -4.813 eV/atom


Record 4
## AlTlIr2 (PBE)

Data for a geometry-optimized AlTlIr2 structure.

Cell and atoms, written as POSCAR:
```
AlTlIr2
1.0
4.6560 0.0000 0.0000
0.7237 4.5994 0.0000
-2.6898 -2.2997 3.0256
Ir Al Tl
2 1 1
direct
0.0000 0.0000 0.0000
0.5000 0.5000 0.0000
0.7500 0.2500 0.5000
0.2500 0.7500 0.5000
```

Computed properties:
Theoretical density ... 15.78 Mg/m³
Formation enthalpy at 0 K ... 0.01 eV per atom
Spin magnetization ... 0.000 μB/atom
SG ... No. 139
Total DFT energy (no corrections) ... -5.948 eV/atom
Relative energy among the computed polymorphs ... 192 meV per atom


Record 5
## Al2TlIr (PBE)

Data for a geometry-optimized Al2TlIr structure.

Cell and atoms, written as POSCAR:
```
Al2TlIr
1.0
-2.5171 2.1590 -5.4692
1.0744 -4.1051 -1.0692
-1.6396 -0.8520 5.0244
Al Tl Ir
2 1 1
direct
0.9678 0.0315 0.1452
0.2822 0.7186 0.6047
0.6251 0.3748 0.3751
0.6249 0.3750 0.8750
```

Computed properties:
Theoretical density ... 8.49 Mg/m³
Formation enthalpy at 0 K ... -0.26 eV per atom
Spin magnetization ... 0.000 μB/atom
SG ... No. 2
Total DFT energy (no corrections) ... -4.942 eV/atom


Record 6
## AlTlIr2 (PBE)

Data for a geometry-optimized AlTlIr2 structure.

Cell and atoms, written as POSCAR:
```
AlTlIr2
1.0
-2.7121 0.6831 3.3860
-1.9693 -2.1354 3.2938
5.4506 1.3196 3.5729
Tl Al Ir
1 1 2
direct
0.7500 0.7500 0.7500
0.2500 0.2500 0.2500
0.5570 0.5570 0.4078
0.9430 0.9430 0.0922
```

Computed properties:
Theoretical density ... 12.76 Mg/m³
Formation enthalpy at 0 K ... 0.03 eV per atom
Spin magnetization ... 0.000 μB/atom
SG ... No. 12
Total DFT energy (no corrections) ... -5.932 eV/atom
Relative energy among the computed polymorphs ... 208 meV per atom


Record 7
## AlTlIr (PBE)

Data for a geometry-optimized AlTlIr structure.

Cell and atoms, written as POSCAR:
```
AlTlIr
1.0
3.1247 0.0000 0.0000
-1.5624 2.7061 0.0000
0.0000 0.0000 6.6401
Ir Tl Al
1 1 1
direct
0.6667 0.3333 0.3003
0.3333 0.6667 0.6569
0.0000 0.0000 0.0428
```

Computed properties:
Theoretical density ... 12.53 Mg/m³
Formation enthalpy at 0 K ... 0.06 eV per atom
Spin magnetization ... 0.000 μB/atom
SG ... No. 156
Total DFT energy (no corrections) ... -4.926 eV/atom
Relative energy among the computed polymorphs ... 122 meV per atom


Record 8
## Al3TlIr (PBE)

Data for a geometry-optimized Al3TlIr structure.

Cell and atoms, written as POSCAR:
```
Al3TlIr
1.0
-3.6103 -2.6534 -1.7837
-1.2881 -1.2552 4.4745
-2.9262 3.8263 0.2310
Al Ir Tl
3 1 1
direct
0.0000 0.5000 0.0000
0.5000 0.0000 0.0000
0.0000 0.0000 0.5000
0.0000 0.0000 0.0000
0.5000 0.5000 0.5000
```

Computed properties:
Theoretical density ... 7.07 Mg/m³
Formation enthalpy at 0 K ... -0.19 eV per atom
Spin magnetization ... 0.000 μB/atom
SG ... No. 221
Total DFT energy (no corrections) ... -4.684 eV/atom
Relative energy among the computed polymorphs ... 0 meV per atom


Record 9
## AlTlIr2 (PBE)

Data for a geometry-optimized AlTlIr2 structure.

Cell and atoms, written as POSCAR:
```
AlTlIr2
1.0
4.2382 0.0000 0.0000
0.0000 4.2382 0.0000
2.1191 2.1191 8.6532
Al Ir Tl
2 4 2
direct
0.2500 0.7500 0.5000
0.5000 0.5000 0.0000
0.3750 0.4491 0.7500
0.8750 0.8009 0.7500
0.1991 0.6250 0.2500
0.5509 0.1250 0.2500
0.7500 0.2500 0.5000
0.0000 0.0000 0.0000
```

Computed properties:
Theoretical density ... 13.16 Mg/m³
Formation enthalpy at 0 K ... 0.37 eV per atom
Spin magnetization ... 0.000 μB/atom
SG ... No. 122
Total DFT energy (no corrections) ... -5.588 eV/atom
Relative energy among the computed polymorphs ... 552 meV per atom


Record 10
## Al2TlIr2 (PBE)

Data for a geometry-optimized Al2TlIr2 structure.

Cell and atoms, written as POSCAR:
```
Al2TlIr2
1.0
-2.5518 -7.1200 0.5558
6.3428 -1.9882 3.6510
-1.2386 0.6390 2.4998
Al Ir Tl
4 4 2
direct
0.1371 0.3629 0.0000
0.8629 0.6371 0.0000
0.3629 0.8629 0.0000
0.6371 0.1371 0.0000
0.8484 0.3484 0.5000
0.3484 0.1516 0.5000
0.6516 0.8484 0.5000
0.1516 0.6516 0.5000
0.0000 0.0000 0.0000
0.5000 0.5000 0.0000
```

Computed properties:
Theoretical density ... 12.97 Mg/m³
Formation enthalpy at 0 K ... -0.33 eV per atom
Spin magnetization ... 0.000 μB/atom
SG ... No. 127
Total DFT energy (no corrections) ... -5.842 eV/atom
Relative energy among the computed polymorphs ... 109 meV per atom


Record 11
## Al2TlIr (PBE)

Data for a geometry-optimized Al2TlIr structure.

Cell and atoms, written as POSCAR:
```
Al2TlIr
1.0
-1.3461 -0.5117 2.6201
2.5269 -1.1906 1.0657
2.4097 7.5402 2.7107
Al Ir Tl
2 1 1
direct
0.0000 0.0000 0.0649
0.0000 0.0000 0.4351
0.5000 0.5000 0.2500
0.5000 0.5000 0.7500
```

Computed properties:
Theoretical density ... 10.00 Mg/m³
Formation enthalpy at 0 K ... -0.26 eV per atom
Spin magnetization ... 0.000 μB/atom
SG ... No. 123
Total DFT energy (no corrections) ... -4.939 eV/atom


Record 12
## AlTlIr2 (PBE)

Data for a geometry-optimized AlTlIr2 structure.

Cell and atoms, written as POSCAR:
```
AlTlIr2
1.0
4.5550 0.0000 0.0000
2.2775 3.9448 0.0000
2.2775 1.3149 3.7192
Al Tl Ir
1 1 2
direct
0.5000 0.5000 0.5000
0.7500 0.7500 0.7500
0.2500 0.2500 0.2500
0.0000 0.0000 0.0000
```

Computed properties:
Theoretical density ... 15.30 Mg/m³
Formation enthalpy at 0 K ... 0.38 eV per atom
Spin magnetization ... 0.000 μB/atom
SG ... No. 216
Total DFT energy (no corrections) ... -5.578 eV/atom
Relative energy among the computed polymorphs ... 562 meV per atom


Record 13
## Al2TlIr (PBE)

Data for a geometry-optimized Al2TlIr structure.

Cell and atoms, written as POSCAR:
```
Al2TlIr
1.0
-0.2696 1.8838 2.2911
-1.9545 -1.8565 1.2964
6.3004 -3.8862 3.9368
Al Ir Tl
2 1 1
direct
0.0000 0.7497 0.4347
0.0000 0.7503 0.0653
0.5000 0.2500 0.2500
0.5000 0.7500 0.7500
```

Computed properties:
Theoretical density ... 10.02 Mg/m³
Formation enthalpy at 0 K ... -0.31 eV per atom
Spin magnetization ... 0.000 μB/atom
SG ... No. 47
Total DFT energy (no corrections) ... -4.986 eV/atom


Record 14
## AlTlIr2 (PBE)

Data for a geometry-optimized AlTlIr2 structure.

Cell and atoms, written as POSCAR:
```
AlTlIr2
1.0
2.8966 -0.0050 0.0000
-1.3713 2.5514 0.0000
0.0000 0.0000 9.2628
Tl Ir Al
1 2 1
direct
0.5000 0.5000 0.2500
0.0000 0.0000 0.9611
0.0000 0.0000 0.5389
0.5000 0.5000 0.7500
```

Computed properties:
Theoretical density ... 14.95 Mg/m³
Formation enthalpy at 0 K ... 0.04 eV per atom
Spin magnetization ... 0.000 μB/atom
SG ... No. 65
Total DFT energy (no corrections) ... -5.918 eV/atom
Relative energy among the computed polymorphs ... 222 meV per atom